{
  "formula": "CsLiS",
  "functional": "GGA-PBE",
  "state": "relaxed",
  "dft_energy_ev_per_atom": -3.41,
  "total_magnetization_mub_per_cell": 0.00,
  "cell": [[-1.6615, -2.2294, -4.5223], [4.0534, -0.2228, -1.3794], [-1.6894, -3.2528, 2.2243]],
  "species": ["Cs", "S", "Li"],
  "fractional_positions": [[0.6665, 0.6667, 0.3333], [0.1670, 0.3333, 0.6667], [0.1666, 0.0000, 0.0000]]
}

{
  "formula": "CsLiSbS",
  "functional": "GGA-PBE",
  "state": "relaxed",
  "dft_energy_ev_per_atom": -3.56,
  "total_magnetization_mub_per_cell": 0.24,
  "cell": [[4.2507, 0.0000, 0.0000], [0.0000, 4.2507, 0.0000], [0.0000, 0.0000, 13.8674]],
  "species": ["Cs", "Cs", "Li", "Li", "Sb", "Sb", "S", "S"],
  "fractional_positions": [[0.7500, 0.7500, 0.2214], [0.2500, 0.2500, 0.7786], [0.7500, 0.2500, 0.0000], [0.2500, 0.7500, 0.0000], [0.2500, 0.7500, 0.5000], [0.7500, 0.2500, 0.5000], [0.7500, 0.7500, 0.9071], [0.2500, 0.2500, 0.0929]]
}

{
  "formula": "Cs2Li2SbS4",
  "functional": "GGA-PBE",
  "state": "relaxed",
  "dft_energy_ev_per_atom": -3.82,
  "total_magnetization_mub_per_cell": 0.00,
  "cell": [[4.1619, 0.0000, 0.0000], [0.0000, 7.9248, 0.3777], [-2.0810, -2.7829, 6.9672]],
  "species": ["Cs", "Cs", "Li", "Li", "Sb", "S", "S", "S", "S"],
  "fractional_positions": [[0.1390, 0.5586, 0.2780], [0.8610, 0.4414, 0.7220], [0.6805, 0.9938, 0.3610], [0.3195, 0.0062, 0.6390], [0.0000, 0.0000, 0.0000], [0.1876, 0.1491, 0.3751], [0.8124, 0.8509, 0.6249], [0.5174, 0.7901, 0.0349], [0.4826, 0.2099, 0.9651]]
}

{
  "formula": "CsLi2SbS4",
  "functional": "GGA-PBE",
  "state": "relaxed",
  "dft_energy_ev_per_atom": -4.00,
  "total_magnetization_mub_per_cell": 0.00,
  "cell": [[-3.8537, -4.4851, -3.1596], [3.8715, 1.1393, -5.3539], [3.0097, -1.9199, 5.6751]],
  "species": ["Cs", "Li", "Li", "Sb", "S", "S", "S", "S"],
  "fractional_positions": [[0.5000, 0.5000, 0.0000], [0.7500, 0.2500, 0.5000], [0.2500, 0.7500, 0.5000], [0.0000, 0.0000, 0.0000], [0.6507, 0.6507, 0.6152], [0.9645, 0.3493, 0.0000], [0.3493, 0.9645, 0.0000], [0.0355, 0.0355, 0.3848]]
}